## SmW4 (PBE-GGA)

Data for SmW4 after structural relaxation.

Unit cell a=4.745 b=4.745 c=4.745 alpha=90.00 beta=90.00 gamma=90.00
Space group Pm-3m (No. 221)
Unique sites:
Sm (0.000, 0.000, 0.000)
W (0.000, 0.000, 0.500)
W (0.500, 0.500, 0.500)

## Properties
Energy (eV per atom): -7.9218
Total magnetization (μB per atom): 0.000
ΔH_f (0 K) (kJ per mole of atoms): 326.6
D(E_F) (states/eV/f.u.): 5.11